No. 1
Entry from the Alexandria database: Sr2Ge after structural relaxation (GGA-PBEsol).

Magnetic moment in μB per cell: 0.0
Formation energy in eV per atom: -0.56
Calculated density in Mg/m³: 4.23
Calculated total energy in eV for the cell shown: -41.2
Space group: Pnma, No. 62

abc: 5.1119 7.9980 9.5208
angles: 90.00 90.00 90.00
Element x y z (fractional)
1 Ge 0.2500 0.7521 0.3980
2 Ge 0.7500 0.7479 0.8980
3 Ge 0.7500 0.2479 0.6020
4 Ge 0.2500 0.2521 0.1020
5 Sr 0.7500 0.8466 0.5783
6 Sr 0.7500 0.9815 0.1764
7 Sr 0.2500 0.5185 0.6764
8 Sr 0.2500 0.1534 0.4217
9 Sr 0.7500 0.3466 0.9217
10 Sr 0.2500 0.0185 0.8236
11 Sr 0.7500 0.4815 0.3236
12 Sr 0.2500 0.6534 0.0783

=====

No. 2
Entry from the Alexandria database: SrGe after structural relaxation (GGA-PBEsol).

Magnetic moment in μB per cell: 0.0
Formation energy in eV per atom: -0.66
Calculated density in Mg/m³: 4.77
Calculated total energy in eV for the cell shown: -16.2
Space group: Cmcm, No. 63

abc: 4.1382 4.7598 6.1468
angles: 67.22 90.00 90.00
Element x y z (fractional)
1 Ge 0.2500 0.4295 0.1410
2 Ge 0.7500 0.5705 0.8590
3 Sr 0.2500 0.1380 0.7240
4 Sr 0.7500 0.8620 0.2760

=====

No. 3
Entry from the Alexandria database: SrTc2Ge2 after structural relaxation (GGA-PBEsol).

Magnetic moment in μB per cell: 0.0
Formation energy in eV per atom: -0.25
Calculated density in Mg/m³: 7.60
Calculated total energy in eV for the cell shown: -35.5
Space group: I4/mmm, No. 139

abc: 4.1041 4.1041 6.2721
angles: 109.10 109.10 90.00
Element x y z (fractional)
1 Ge 0.3770 0.3770 0.7540
2 Ge 0.6230 0.6230 0.2460
3 Tc 0.7500 0.2500 0.5000
4 Tc 0.2500 0.7500 0.5000
5 Sr 0.0000 0.0000 0.0000